1.
Entry from Alexandria: a relaxed Cr2FeP crystal (PBE).

The size of the total moment is 1.0 Bohr magnetons per cell. The calculation puts the density of states at the Fermi level at 3.78 states/eV/cell. The value obtained for the formation energy is -0.097 eV/atom.

Unit cell a=2.8956 b=2.8956 c=5.3131 alpha=90.00 beta=90.00 gamma=90.00
Each line ends with the local moment (μB).
Fractional positions:
1 Cr 0.0000 0.0000 0.0014  -0.52
2 Cr 0.5000 0.5000 0.2349  0.75
3 Fe 0.0000 0.0000 0.5240  0.79
4 P 0.5000 0.5000 0.7397  0.01


2.
Entry from Alexandria: a relaxed CeSm2Ga6 crystal (PBE).

The size of the total moment is 0.6 Bohr magnetons per cell. The calculation puts the density of states at the Fermi level at 10.20 states/eV/cell. The value obtained for the formation energy is -0.647 eV/atom. For the relative energy among the computed polymorphs, the calculation gives 0.000 eV per formula unit.

Unit cell a=4.2108 b=7.3823 c=7.3823 alpha=120.00 beta=90.00 gamma=90.00
Each line ends with the local moment (μB).
Fractional positions:
1 Ce 0.0000 0.0000 0.0000  0.57
2 Sm 0.0000 0.3333 0.6667  0.00
3 Sm 0.0000 0.6667 0.3333  0.00
4 Ga 0.5000 0.3331 0.3331  0.00
5 Ga 0.5000 0.6669 0.6669  0.00
6 Ga 0.5000 0.0000 0.6669  0.00
7 Ga 0.5000 0.6669 0.0000  0.00
8 Ga 0.5000 0.3331 0.0000  0.00
9 Ga 0.5000 0.0000 0.3331  0.00


3.
Entry from Alexandria: a relaxed SrScGa crystal (PBE).

The size of the total moment is 0.0 Bohr magnetons per cell. The calculation puts the density of states at the Fermi level at 1.29 states/eV/cell. The value obtained for the formation energy is -0.386 eV/atom. For the relative energy among the computed polymorphs, the calculation gives 0.000 eV per formula unit.

Unit cell a=4.8641 b=4.8632 c=7.3280 alpha=90.01 beta=90.00 gamma=90.00
Fractional positions:
1 Sc 0.5502 0.1852 0.6077
2 Sc 0.0502 0.6851 0.6077
3 Sr 0.0503 0.1851 0.9667
4 Sr 0.5503 0.6851 0.2487
5 Ga 0.5502 0.6853 0.8048
6 Ga 0.0501 0.1852 0.4105


4.
Entry from Alexandria: a relaxed KDy2Co crystal (PBE).

The size of the total moment is 0.0 Bohr magnetons per cell. The calculation puts the density of states at the Fermi level at 3.61 states/eV/cell. The value obtained for the formation energy is 0.062 eV/atom.

Unit cell a=3.9129 b=3.9129 c=11.1134 alpha=79.86 beta=79.86 gamma=60.00
Fractional positions:
1 K 0.0000 0.0000 0.0000
2 Co 0.5000 0.5000 0.5000
3 Dy 0.1241 0.1241 0.6278
4 Dy 0.8759 0.8759 0.3722


5.
Entry from Alexandria: a relaxed K2RbBrF crystal (PBE).

The size of the total moment is 0.0 Bohr magnetons per cell. The raw formation energy is -1.59 eV per atom. The calculation puts the density of states at the Fermi level at 0.84 states/eV/cell. For the relative energy among the computed polymorphs, the calculation gives 0.000 eV per formula unit.

Unit cell a=5.3377 b=5.3377 c=6.4930 alpha=90.00 beta=90.00 gamma=90.00
Fractional positions:
1 K 0.0000 0.5000 0.0000
2 K 0.5000 0.0000 0.0000
3 Br 0.5000 0.5000 0.5000
4 Rb 0.0000 0.0000 0.5000
5 F 0.0000 0.0000 0.0000


6.
Entry from Alexandria: a relaxed TbNd3Si4 crystal (PBE).

The size of the total moment is 0.0 Bohr magnetons per cell. The raw formation energy is -0.55 eV per atom. The calculation puts the density of states at the Fermi level at 8.00 states/eV/cell.

Unit cell a=4.1765 b=6.3333 c=8.8677 alpha=110.92 beta=103.62 gamma=90.00
Fractional positions:
1 Tb 0.5000 0.0000 0.0000
2 Nd 0.0000 0.5000 0.0000
3 Nd 0.1937 0.1936 0.3873
4 Nd 0.8063 0.8064 0.6127
5 Si 0.3700 0.5542 0.7401
6 Si 0.6300 0.4458 0.2599
7 Si 0.6299 0.8141 0.2599
8 Si 0.3701 0.1859 0.7401


Look up the size of the total moment of the third one.
0.0 Bohr magnetons per cell